Density functional theory data (meta-GGA SCAN) for a PBEsol-optimized structure of Sc2CCl.

Unit cell a=4.2890 b=4.2890 c=4.2890 alpha=60.00 beta=60.00 gamma=60.00
Last column: nearest neighbours and their distance in Å.
Element x y z (fractional)
Sc 0.2500 0.2500 0.2500  4 Cl 2.63, 4 C 2.63
Sc 0.7500 0.7500 0.7500  4 Cl 2.63, 4 C 2.63
C 0.0000 0.0000 0.0000  8 Sc 2.63
Cl 0.5000 0.5000 0.5000  8 Sc 2.63

Calculated values
Energy relative to the elements, uncorrected = -378 meV/atom
Spin magnetization = 0.00 Bohr magnetons per cell